(1)
LiCoSi2Pb PBE optimized geometry; raw total energy = -18.43 eV for the cell shown; space-group type = P4/mmm, No. 123
1.0
4.334 0.000 0.000
0.000 4.334 0.000
0.000 0.000 5.044
Li Co Si Pb
1 1 2 1
Direct
0.000 0.000 0.000
0.500 0.500 0.500
0.000 0.500 0.000
0.500 0.000 0.000
0.000 0.000 0.500

(2)
OsS2Cl PBE optimized geometry; distance to the lowest polymorph of the same formula = 572 meV per atom; space-group type = R-3m, No. 166
1.0
1.386 0.800 12.021
-1.386 0.800 12.021
0.000 -1.601 12.021
Os S Cl
1 2 1
Direct
0.000 0.000 0.000
0.062 0.062 0.062
0.938 0.938 0.938
0.500 0.500 0.500

(3)
Na3Er3GaS8 PBE optimized geometry; raw total energy = -75.64 eV for the cell shown; space-group type = C2/m, No. 12
1.0
6.705 -3.867 0.000
6.705 3.867 0.000
-4.475 0.000 6.757
Na Er Ga S
3 3 1 8
Direct
0.000 0.000 0.000
0.000 0.500 0.000
0.500 0.000 0.000
0.000 0.500 0.500
0.500 0.000 0.500
0.500 0.500 0.500
0.000 0.000 0.500
0.227 0.227 0.713
0.228 0.758 0.713
0.242 0.772 0.287
0.258 0.258 0.274
0.742 0.742 0.726
0.758 0.228 0.713
0.772 0.242 0.287
0.773 0.773 0.287

(4)
MnPt2Br PBE optimized geometry; distance to the lowest polymorph of the same formula = 260 meV per atom; space-group type = Pmmm, No. 47
1.0
3.019 0.000 0.000
0.000 4.762 0.000
0.000 0.000 4.782
Mn Pt Br
1 2 1
Direct
0.000 0.000 0.000
0.000 0.500 0.500
0.500 0.500 0.000
0.500 0.000 0.500

(5)
Sr3Al2Ga2Pd4 PBE optimized geometry; formation energy from the elements = -611 meV/atom; space-group type = P-3m1, No. 164
1.0
4.341 0.000 0.000
-2.170 3.759 0.000
0.000 0.000 16.248
Sr Al Ga Pd
3 2 2 4
Direct
0.000 0.000 0.000
0.000 0.000 0.282
0.000 0.000 0.718
0.333 0.667 0.559
0.667 0.333 0.441
0.333 0.667 0.143
0.667 0.333 0.857
0.333 0.667 0.406
0.333 0.667 0.861
0.667 0.333 0.139
0.667 0.333 0.594

(6)
Tb8Pm3Dy3 PBE optimized geometry; formation energy from the elements = 106 meV/atom; space-group type = Immm, No. 71
1.0
-2.831 5.415 7.513
2.831 -5.415 7.513
2.831 5.415 -7.513
Tb Pm Dy
8 3 3
Direct
0.056 0.897 0.159
0.061 0.721 0.340
0.262 0.103 0.159
0.381 0.721 0.660
0.619 0.279 0.340
0.738 0.897 0.841
0.939 0.279 0.660
0.944 0.103 0.841
0.318 0.318 0.000
0.500 0.000 0.500
0.682 0.682 0.000
0.000 0.500 0.500
0.296 0.500 0.796
0.704 0.500 0.204

(7)
Tl2AgCl PBE optimized geometry; distance to the lowest polymorph of the same formula = 107 meV per atom; space-group type = I-4m2, No. 119
1.0
-2.179 2.179 5.924
2.179 -2.179 5.924
2.179 2.179 -5.924
Tl Ag Cl
2 1 1
Direct
0.000 0.000 0.000
0.750 0.250 0.500
0.250 0.750 0.500
0.500 0.500 0.000

(8)
KSr2CdCo PBE optimized geometry; formation energy from the elements = 472 meV/atom; space-group type = P4/mmm, No. 123
1.0
6.378 0.000 0.000
0.000 6.378 0.000
0.000 0.000 5.093
K Sr Cd Co
1 2 1 1
Direct
0.000 0.000 0.000
0.000 0.500 0.500
0.500 0.000 0.500
0.500 0.500 0.500
0.500 0.500 0.000